First-principles (GGA-PBEsol) data for a relaxed HfCdNiS2 crystal, as listed in Alexandria.

Cell and atoms, written as extended XYZ:
```
5
Lattice="4.7762 0.0000 0.0000 0.0000 4.7762 0.0000 0.0000 0.0000 5.5690" Properties=species:S:1:pos:R:3 pbc="T T T"
Ni 2.3881 2.3881 2.7845
Hf 0.0000 0.0000 0.0000
Cd 0.0000 0.0000 2.7845
S 0.0000 2.3881 0.0000
S 2.3881 0.0000 0.0000
```

Results
formation energy without anion corrections	0.42	eV/atom
magnetization	0.64	Bohr magnetons per cell

First-principles (GGA-PBEsol) data for a relaxed HfTiCd2O crystal, as listed in Alexandria.

Cell and atoms, written as extended XYZ:
```
5
Lattice="3.9904 0.0000 0.0000 0.0000 4.8479 0.0000 0.0000 0.0000 4.8479" Properties=species:S:1:pos:R:3 pbc="T T T"
Ti 1.9952 2.4239 2.4239
Hf 1.9952 0.0000 0.0000
Cd 0.0000 2.4239 0.0000
Cd 0.0000 0.0000 2.4239
O 0.0000 0.0000 0.0000
```

Results
formation energy without anion corrections	-0.37	eV/atom
magnetization	2.10	Bohr magnetons per cell

First-principles (GGA-PBEsol) data for a relaxed HfZrCd2Os crystal, as listed in Alexandria.

Cell and atoms, written as extended XYZ:
```
5
Lattice="4.6097 0.0000 0.0000 0.0000 5.1462 0.0000 0.0000 0.0000 5.1462" Properties=species:S:1:pos:R:3 pbc="T T T"
Zr 0.0000 0.0000 0.0000
Os 2.3048 0.0000 0.0000
Cd 0.0000 0.0000 2.5731
Cd 0.0000 2.5731 0.0000
Hf 2.3048 2.5731 2.5731
```

Results
energy relative to the elements	1.475	eV/atom
magnetization	0.00	Bohr magnetons per cell

First-principles (GGA-PBEsol) data for a relaxed HfCd3P crystal, as listed in Alexandria.

Cell and atoms, written as extended XYZ:
```
5
Lattice="5.3739 0.0000 0.0000 0.0000 5.3739 0.0000 0.0000 0.0000 5.3739" Properties=species:S:1:pos:R:3 pbc="T T T"
P 2.6870 2.6870 2.6870
Cd 2.6870 0.0000 0.0000
Cd 0.0000 2.6870 0.0000
Cd 0.0000 0.0000 2.6870
Hf 0.0000 0.0000 0.0000
```

Results
energy relative to the elements	1.442	eV/atom
magnetization	0.00	Bohr magnetons per cell

First-principles (GGA-PBEsol) data for a relaxed HfCdP3 crystal, as listed in Alexandria.

Cell and atoms, written as extended XYZ:
```
5
Lattice="-3.8692 0.7932 -2.6174 -2.0641 -3.8219 1.8930 -1.7944 2.6860 3.4665" Properties=species:S:1:pos:R:3 pbc="T T T"
P -1.9346 0.3966 -1.3087
P -1.0320 -1.9110 0.9465
P -0.8972 1.3430 1.7332
Cd 0.0000 0.0000 0.0000
Hf -3.8638 -0.1714 1.3710
```

Results
energy relative to the elements	1.104	eV/atom
magnetization	0.00	Bohr magnetons per cell

First-principles (GGA-PBEsol) data for a relaxed Hf3CdP crystal, as listed in Alexandria.

Cell and atoms, written as extended XYZ:
```
5
Lattice="5.0473 0.0000 0.0000 0.0000 5.0473 0.0000 0.0000 0.0000 5.0473" Properties=species:S:1:pos:R:3 pbc="T T T"
Cd 0.0000 0.0000 0.0000
Hf 0.0000 0.0000 2.5237
Hf 2.5237 0.0000 0.0000
Hf 0.0000 2.5237 0.0000
P 2.5237 2.5237 2.5237
```

Results
energy relative to the elements	1.384	eV/atom
magnetization	0.00	Bohr magnetons per cell

First-principles (GGA-PBEsol) data for a relaxed Hf2CdSiPd crystal, as listed in Alexandria.

Cell and atoms, written as extended XYZ:
```
5
Lattice="-2.7812 -3.5569 0.7888 2.9033 -2.8505 -2.6170 2.5213 -1.0884 3.9826" Properties=species:S:1:pos:R:3 pbc="T T T"
Hf 1.2607 -0.5442 1.9913
Hf 1.4516 -1.4253 -1.3085
Cd -1.3906 -1.7784 0.3944
Pd 1.3217 -3.7479 1.0772
Si 0.0000 0.0000 0.0000
```

Results
formation energy without anion corrections	0.46	eV/atom
magnetization	0.00	Bohr magnetons per cell

First-principles (GGA-PBEsol) data for a relaxed HfZnCdPd2 crystal, as listed in Alexandria.

Cell and atoms, written as extended XYZ:
```
5
Lattice="4.7994 0.0000 0.0000 0.0000 4.7994 0.0000 0.0000 0.0000 5.4576" Properties=species:S:1:pos:R:3 pbc="T T T"
Zn 2.3997 2.3997 2.7288
Hf 0.0000 0.0000 0.0000
Pd 0.0000 2.3997 0.0000
Pd 2.3997 0.0000 0.0000
Cd 0.0000 0.0000 2.7288
```

Results
energy relative to the elements	0.937	eV/atom
magnetization	0.00	Bohr magnetons per cell

First-principles (GGA-PBEsol) data for a relaxed HfCd2Pt crystal, as listed in Alexandria.

Cell and atoms, written as extended XYZ:
```
4
Lattice="-3.7776 -1.6926 -2.1348 -3.0540 -2.5909 2.3776 -4.2115 1.7100 1.0157" Properties=species:S:1:pos:R:3 pbc="T T T"
Hf 0.0000 0.0000 0.0000
Pt -5.5215 -1.2868 0.6292
Cd -2.7608 -0.6434 0.3146
Cd -8.2823 -1.9302 0.9439
```

Results
energy relative to the elements	-0.190	eV/atom
magnetization	0.00	Bohr magnetons per cell

First-principles (GGA-PBEsol) data for a relaxed Hf3CdPt crystal, as listed in Alexandria.

Cell and atoms, written as extended XYZ:
```
5
Lattice="4.9969 0.0000 0.0000 0.0000 4.9969 0.0000 0.0000 0.0000 4.9969" Properties=species:S:1:pos:R:3 pbc="T T T"
Hf 0.0000 0.0000 2.4984
Hf 0.0000 2.4984 0.0000
Hf 2.4984 0.0000 0.0000
Pt 0.0000 0.0000 0.0000
Cd 2.4984 2.4984 2.4984
```

Results
energy relative to the elements	0.276	eV/atom
polymorph energy (0 for the lowest one)	0.000	eV per formula unit
magnetization	0.00	Bohr magnetons per cell

First-principles (GGA-PBEsol) data for a relaxed HfZrCdRe2 crystal, as listed in Alexandria.

Cell and atoms, written as extended XYZ:
```
5
Lattice="-3.2967 3.4596 -0.0172 -1.1656 -1.0881 4.5560 3.2943 3.1472 1.5944" Properties=species:S:1:pos:R:3 pbc="T T T"
Re -0.5828 -0.5440 2.2780
Re 1.6471 1.5736 0.7972
Zr -0.5840 2.7593 3.0666
Cd 0.0000 0.0000 0.0000
Hf -1.6484 1.7298 -0.0086
```

Results
energy relative to the elements	2.122	eV/atom
magnetization	0.00	Bohr magnetons per cell

First-principles (GGA-PBEsol) data for a relaxed Hf2ZnCdRh crystal, as listed in Alexandria.

Cell and atoms, written as extended XYZ:
```
5
Lattice="4.7241 0.0000 0.0000 0.0000 4.8542 0.0000 0.0000 0.0000 4.8542" Properties=species:S:1:pos:R:3 pbc="T T T"
Cd 2.3621 2.4271 2.4271
Zn 2.3621 0.0000 0.0000
Hf 0.0000 0.0000 2.4271
Hf 0.0000 2.4271 0.0000
Rh 0.0000 0.0000 0.0000
```

Results
energy relative to the elements	0.247	eV/atom
magnetization	0.00	Bohr magnetons per cell

Number 1: theoretical density 5.4 g/cm³, DFT total energy -0.180 Ha/atom. Number 2: theoretical density 8.3 g/cm³, DFT total energy -0.208 Ha/atom. Number 3: theoretical density 9.3 g/cm³, DFT total energy -0.197 Ha/atom. Number 4: theoretical density 5.8 g/cm³, DFT total energy -0.093 Ha/atom. Number 5: theoretical density 6.0 g/cm³, DFT total energy -0.173 Ha/atom. Number 6: theoretical density 8.8 g/cm³, DFT total energy -0.232 Ha/atom. Number 7: theoretical density 9.3 g/cm³, DFT total energy -0.232 Ha/atom. Number 8: theoretical density 7.5 g/cm³, DFT total energy -0.151 Ha/atom. Number 9: theoretical density 13.9 g/cm³, DFT total energy -0.189 Ha/atom. Number 10: theoretical density 11.2 g/cm³, DFT total energy -0.281 Ha/atom. Number 11: theoretical density 11.3 g/cm³, DFT total energy -0.271 Ha/atom. Number 12: theoretical density 9.5 g/cm³, DFT total energy -0.226 Ha/atom.